No. 1
# Tl2ZnFe

Crystalline Tl2ZnFe at its relaxed geometry (GGA-PBE, the Alexandria database).

For the energy relative to the elements, the calculation gives 352 meV/atom. The energy relative to the lowest polymorph listed for this composition is 0 meV/atom.

The space group is P4mm (No. 99) and the conventional cell measures 3.196, 3.196 and 8.382 Å, with angles of 90.00, 90.00 and 90.00 degrees. The inequivalent atoms are Tl at (0.000, 0.000, 0.000), Tl at (0.500, 0.500, 0.345), Zn at (0.000, 0.000, 0.620) and Fe at (0.500, 0.500, 0.768).



No. 2
# Tl2ZnFe

Crystalline Tl2ZnFe at its relaxed geometry (GGA-PBE, the Alexandria database).

For the energy relative to the elements, the calculation gives 400 meV/atom. The energy relative to the lowest polymorph listed for this composition is 48 meV/atom.

The space group is Pm (No. 6) and the conventional cell measures 3.839, 4.054 and 5.679 Å, with angles of 90.00, 109.43 and 90.00 degrees. The inequivalent atoms are Tl at (0.000, 0.000, 0.000), Tl at (0.303, 0.500, 0.601), Zn at (0.590, 0.500, 0.178) and Fe at (0.737, 0.000, 0.466).



No. 3
# TlZnFe

Crystalline TlZnFe at its relaxed geometry (GGA-PBE, the Alexandria database).

For the energy relative to the elements, the calculation gives 502 meV/atom. The energy relative to the lowest polymorph listed for this composition is 85 meV/atom.

The space group is P3m1 (No. 156) and the conventional cell measures 3.0426, 3.0426 and 6.8352 Å, with angles of 90.00, 90.00 and 120.00 degrees. The inequivalent atoms are Tl at (0.0000, 0.0000, 0.0000), Zn at (0.6667, 0.3333, 0.3816) and Fe at (0.3333, 0.6667, 0.6589).



No. 4
# Tl2ZnFe

Crystalline Tl2ZnFe at its relaxed geometry (GGA-PBE, the Alexandria database).

For the energy relative to the elements, the calculation gives 399 meV/atom. The energy relative to the lowest polymorph listed for this composition is 47 meV/atom.

The space group is Imm2 (No. 44) and the conventional cell measures 3.035, 4.712 and 12.067 Å, with angles of 90.00, 90.00 and 90.00 degrees. The inequivalent atoms are Tl at (0.000, 0.000, 0.000), Tl at (0.000, 0.500, 0.207), Zn at (0.000, 0.000, 0.387) and Fe at (0.000, 0.500, 0.716).



No. 5
# Tl2ZnFe

Crystalline Tl2ZnFe at its relaxed geometry (GGA-PBE, the Alexandria database).

For the energy relative to the elements, the calculation gives 650 meV/atom. The energy relative to the lowest polymorph listed for this composition is 298 meV/atom.

The space group is F-43m (No. 216) and the conventional cell measures 7.057, 7.057 and 7.057 Å, with angles of 90.00, 90.00 and 90.00 degrees. The inequivalent atoms are Tl at (0.000, 0.000, 0.000), Tl at (0.250, 0.250, 0.250), Zn at (0.250, 0.250, 0.750) and Fe at (0.000, 0.000, 0.500).



No. 6
# Zr2TlFe

Crystalline Zr2TlFe at its relaxed geometry (GGA-PBE, the Alexandria database).

For the energy relative to the elements, the calculation gives 44 meV/atom. The energy relative to the lowest polymorph listed for this composition is 128 meV/atom.

The space group is Pm (No. 6) and the conventional cell measures 3.429, 4.268 and 5.816 Å, with angles of 90.00, 107.06 and 90.00 degrees. The inequivalent atoms are Zr at (0.000, 0.000, 0.000), Zr at (0.329, 0.500, 0.662), Tl at (0.720, 0.000, 0.442) and Fe at (0.551, 0.500, 0.098).



No. 7
# ZrTlFe

Crystalline ZrTlFe at its relaxed geometry (GGA-PBE, the Alexandria database).

For the energy relative to the elements, the calculation gives 137 meV/atom.

The space group is I4mm (No. 107) and the conventional cell measures 3.320, 3.320 and 10.415 Å, with angles of 90.00, 90.00 and 90.00 degrees. The inequivalent atoms are Zr at (0.000, 0.000, 0.000), Tl at (0.000, 0.000, 0.294) and Fe at (0.000, 0.000, 0.631).



No. 8
# Zr4TlFe

Crystalline Zr4TlFe at its relaxed geometry (GGA-PBE, the Alexandria database).

For the energy relative to the elements, the calculation gives 107 meV/atom. The energy relative to the lowest polymorph listed for this composition is 0 meV/atom.

The space group is P2_1/c (No. 14) and the conventional cell measures 7.944, 6.681 and 5.539 Å, with angles of 90.00, 107.93 and 90.00 degrees. The inequivalent atoms are Zr at (0.135, 0.146, 0.156), Zr at (0.247, 0.666, 0.294), Tl at (0.500, 0.000, 0.500) and Fe at (0.000, 0.000, 0.500).



No. 9
# Zr2TlFe

Crystalline Zr2TlFe at its relaxed geometry (GGA-PBE, the Alexandria database).

For the energy relative to the elements, the calculation gives 306 meV/atom. The energy relative to the lowest polymorph listed for this composition is 391 meV/atom.

The space group is F-43m (No. 216) and the conventional cell measures 6.770, 6.770 and 6.770 Å, with angles of 90.00, 90.00 and 90.00 degrees. The inequivalent atoms are Zr at (0.000, 0.000, 0.000), Zr at (0.250, 0.250, 0.250), Tl at (0.250, 0.250, 0.750) and Fe at (0.000, 0.000, 0.500).



No. 10
# Zr2TlFe

Crystalline Zr2TlFe at its relaxed geometry (GGA-PBE, the Alexandria database).

For the energy relative to the elements, the calculation gives 85 meV/atom. The energy relative to the lowest polymorph listed for this composition is 170 meV/atom.

The space group is P4mm (No. 99) and the conventional cell measures 3.350, 3.350 and 7.194 Å, with angles of 90.00, 90.00 and 90.00 degrees. The inequivalent atoms are Zr at (0.000, 0.000, 0.000), Zr at (0.500, 0.500, 0.283), Tl at (0.500, 0.500, 0.709) and Fe at (0.000, 0.000, 0.473).



No. 11
# Zr2TlFe

Crystalline Zr2TlFe at its relaxed geometry (GGA-PBE, the Alexandria database).

For the energy relative to the elements, the calculation gives 51 meV/atom. The energy relative to the lowest polymorph listed for this composition is 136 meV/atom.

The space group is R-3m (No. 166, hexagonal axes) and the conventional cell measures 3.3670, 3.3670 and 25.6970 Å, with angles of 90.00, 90.00 and 120.00 degrees. The inequivalent atoms are Zr at (0.0000, 0.0000, 0.2327), Tl at (0.0000, 0.0000, 0.0000) and Fe at (0.0000, 0.0000, 0.5000).



No. 12
# Zr2TlFe

Crystalline Zr2TlFe at its relaxed geometry (GGA-PBE, the Alexandria database).

For the energy relative to the elements, the calculation gives 77 meV/atom. The energy relative to the lowest polymorph listed for this composition is 162 meV/atom.

The space group is Fm-3m (No. 225) and the conventional cell measures 6.860, 6.860 and 6.860 Å, with angles of 90.00, 90.00 and 90.00 degrees. The inequivalent atoms are Zr at (0.250, 0.250, 0.250), Tl at (0.000, 0.000, 0.000) and Fe at (0.000, 0.000, 0.500).



No. 13
# Zr4TlFe

Crystalline Zr4TlFe at its relaxed geometry (GGA-PBE, the Alexandria database).

For the energy relative to the elements, the calculation gives 508 meV/atom. The energy relative to the lowest polymorph listed for this composition is 401 meV/atom.

The space group is F-43m (No. 216) and the conventional cell measures 8.100, 8.100 and 8.100 Å, with angles of 90.00, 90.00 and 90.00 degrees. The inequivalent atoms are Zr at (0.124, 0.124, 0.124), Tl at (0.000, 0.000, 0.500) and Fe at (0.250, 0.250, 0.750).



No. 14
# Zr2TlFe

Crystalline Zr2TlFe at its relaxed geometry (GGA-PBE, the Alexandria database).

For the energy relative to the elements, the calculation gives 76 meV/atom. The energy relative to the lowest polymorph listed for this composition is 161 meV/atom.

The space group is Immm (No. 71) and the conventional cell measures 3.794, 4.940 and 8.506 Å, with angles of 90.00, 90.00 and 90.00 degrees. The inequivalent atoms are Zr at (0.000, 0.000, 0.212), Tl at (0.000, 0.500, 0.000) and Fe at (0.000, 0.500, 0.500).



No. 15
# ZrTlFe

Crystalline ZrTlFe at its relaxed geometry (GGA-PBE, the Alexandria database).

For the energy relative to the elements, the calculation gives 232 meV/atom.

The space group is P3m1 (No. 156) and the conventional cell measures 4.6503, 4.6503 and 3.1107 Å, with angles of 90.00, 90.00 and 120.00 degrees. The inequivalent atoms are Zr at (0.0000, 0.0000, 0.0000), Tl at (0.3333, 0.6667, 0.5037) and Fe at (0.6667, 0.3333, 0.3790).



No. 16
# ZrTl4Fe

Crystalline ZrTl4Fe at its relaxed geometry (GGA-PBE, the Alexandria database).

For the energy relative to the elements, the calculation gives 818 meV/atom.

The space group is F-43m (No. 216) and the conventional cell measures 8.552, 8.552 and 8.552 Å, with angles of 90.00, 90.00 and 90.00 degrees. The inequivalent atoms are Zr at (0.000, 0.000, 0.000), Tl at (0.125, 0.125, 0.375) and Fe at (0.250, 0.250, 0.750).



No. 17
# Zr2TlFe

Crystalline Zr2TlFe at its relaxed geometry (GGA-PBE, the Alexandria database).

For the energy relative to the elements, the calculation gives -84 meV/atom. The energy relative to the lowest polymorph listed for this composition is 0 meV/atom.

The space group is P2/m (No. 10) and the conventional cell measures 3.117, 3.100 and 8.181 Å, with angles of 90.00, 92.70 and 90.00 degrees. The inequivalent atoms are Zr at (0.034, 0.000, 0.301), Tl at (0.500, 0.500, 0.000) and Fe at (0.500, 0.500, 0.500).



No. 18
# Zr2TlFe

Crystalline Zr2TlFe at its relaxed geometry (GGA-PBE, the Alexandria database).

For the energy relative to the elements, the calculation gives 64 meV/atom. The energy relative to the lowest polymorph listed for this composition is 148 meV/atom.

The space group is P4/mmm (No. 123) and the conventional cell measures 4.587, 4.587 and 3.809 Å, with angles of 90.00, 90.00 and 90.00 degrees. The inequivalent atoms are Zr at (0.000, 0.500, 0.000), Tl at (0.000, 0.000, 0.500) and Fe at (0.500, 0.500, 0.500).



No. 19
# ZrTlFe

Crystalline ZrTlFe at its relaxed geometry (GGA-PBE, the Alexandria database).

For the energy relative to the elements, the calculation gives 816 meV/atom.

The space group is F-43m (No. 216) and the conventional cell measures 6.572, 6.572 and 6.572 Å, with angles of 90.00, 90.00 and 90.00 degrees. The inequivalent atoms are Zr at (0.000, 0.000, 0.000), Tl at (0.250, 0.250, 0.750) and Fe at (0.250, 0.250, 0.250).



No. 20
# Zr2TlFe

Crystalline Zr2TlFe at its relaxed geometry (GGA-PBE, the Alexandria database).

For the energy relative to the elements, the calculation gives 142 meV/atom. The energy relative to the lowest polymorph listed for this composition is 226 meV/atom.

The space group is I-4m2 (No. 119) and the conventional cell measures 4.167, 4.167 and 9.302 Å, with angles of 90.00, 90.00 and 90.00 degrees. The inequivalent atoms are Zr at (0.000, 0.000, 0.000), Zr at (0.000, 0.500, 0.250), Tl at (0.000, 0.000, 0.500) and Fe at (0.000, 0.500, 0.750).



Sequential calculated volume output: 21.4 20.8 18.3 21.6 22.0 20.3 19.1 23.3 19.4 20.2 21.0 20.2 22.1 19.9 19.4 26.1 19.7 20.0 23.6 20.2 Å³/atom